# TbBe2Pt2

TbBe2Pt2 after structural relaxation (GGA-PBE, Alexandria).

## Properties
Final energy   -5.749 eV per atom
V   15.4 A^3/atom
DFT formation energy   -916.1 meV/atom

Cell and atoms, written as extended XYZ:
```
10
Lattice="4.013 0.000 0.000 0.000 4.013 0.000 0.000 0.000 9.561" Properties=species:S:1:pos:R:3 pbc="T T T"
Tb 1.003 1.003 2.380
Tb 3.010 3.010 7.181
Be 1.003 1.003 5.986
Be 1.003 3.010 0.000
Be 3.010 1.003 0.000
Be 3.010 3.010 3.575
Pt 1.003 1.003 8.349
Pt 1.003 3.010 4.780
Pt 3.010 1.003 4.780
Pt 3.010 3.010 1.211
```